# 1
Computed, not measured: crystalline MgZnRh3 at its relaxed geometry at the PBE level of DFT.

Unit cell a=4.4872 b=4.4872 c=4.4872 alpha=90.00 beta=90.00 gamma=90.00
With the nearest neighbours (Å) after each atom.
Space group Pm-3m (No. 221)
One atom of each set of equivalent atoms:
Mg 0.0000 0.0000 0.0000  6 Rh 2.24
Zn 0.5000 0.5000 0.5000  12 Rh 3.17
Rh 0.0000 0.0000 0.5000  2 Mg 2.24

formation energy from the elements	0.9998	eV per atom
relative energy among the computed polymorphs	337	meV/atom
mass density	7.3	g/cm³

# 2
Computed, not measured: crystalline MgZn2Rh at its relaxed geometry at the PBE level of DFT.

Unit cell a=3.8810 b=3.8810 c=3.9448 alpha=90.00 beta=90.00 gamma=90.00
With the nearest neighbours (Å) after each atom.
Space group P4/mmm (No. 123)
One atom of each set of equivalent atoms:
Mg 0.0000 0.0000 0.0000  4 Rh 2.74, 8 Zn 2.77
Zn 0.0000 0.5000 0.5000  4 Zn 2.74, 4 Mg 2.77, 4 Rh 2.77
Rh 0.5000 0.5000 0.0000  4 Mg 2.74, 8 Zn 2.77

formation energy from the elements	-0.3527	eV per atom
mass density	7.2	g/cm³

Q: Among the records above, which one has the highest formation energy from the elements?
A: MgZnRh3